Record 1
This record from Alexandria via LeMat-Bulk describes a relaxed structure of P2OsPb. The functional is PBE.

Cell: 3.0877 3.0877 7.7285 Å, 90.00 90.00 90.00°
Space group P4mm (No. 99)
Inequivalent atoms, fractional coordinates:
P 0.0000 0.0000 0.0000
P 0.5000 0.5000 0.1643
Os 0.5000 0.5000 0.8443
Pb 0.0000 0.0000 0.5508

Properties
**Total magnetic moment**: 0.00 μB/cell
**E_tot**: -6.101 eV/atom
**E_form**: 0.34 eV/atom

=====

Record 2
This record from Alexandria via LeMat-Bulk describes a relaxed structure of La2HgH. The functional is PBE.

Cell: 3.8472 3.8472 23.5358 Å, 90.00 90.00 120.00°
Space group R3m (No. 160, hexagonal axes)
Inequivalent atoms, fractional coordinates:
La 0.0000 0.0000 0.0000
La 0.0000 0.0000 0.2090
Hg 0.0000 0.0000 0.4373
H 0.0000 0.0000 0.6034

Properties
**Total magnetic moment**: 0.00 μB/cell
**E_tot**: -3.731 eV/atom
**Relative energy among the computed polymorphs**: 69 meV/atom

=====

Record 3
This record from Alexandria via LeMat-Bulk describes a relaxed structure of LiP2Cl. The functional is PBE.

Cell: 14.8613 3.2978 3.7555 Å, 90.00 90.21 90.00°
Space group C2/m (No. 12)
Inequivalent atoms, fractional coordinates:
Li 0.0000 0.0000 0.0000
P 0.2496 0.0000 0.1767
Cl 0.0000 0.5000 0.5000

Properties
**Energy relative to the elements, uncorrected**: -0.59 eV per atom
**Total magnetic moment**: 0.00 μB/cell
**E_tot**: -4.237 eV/atom
**Relative energy among the computed polymorphs**: 132 meV/atom

=====

Record 4
This record from Alexandria via LeMat-Bulk describes a relaxed structure of DyAl2Zn2. The functional is PBE.

Cell: 7.8589 7.8589 2.9549 Å, 90.00 90.00 90.00°
Space group P4/mbm (No. 127)
Inequivalent atoms, fractional coordinates:
Dy 0.0000 0.0000 0.0000
Al 0.1273 0.3727 0.0000
Zn 0.1681 0.6681 0.5000

Properties
**Total magnetic moment**: 0.32 μB/cell
**E_tot**: -3.059 eV/atom
**E_form**: -0.13 eV/atom

=====

Values for volume, Å³ per atom, ordered as above
18.42 25.14 23.01 18.25